Record 1
# PBE-GGA Sr2TcAs, optimized geometry
# **Formation energy**: 0.3411 eV per atom
data_Sr2TcAs
_symmetry_space_group_name_H-M 'F -4 3 m'
_symmetry_Int_Tables_number 216
_symmetry_space_group_name_Hall 'F -4 2 3'
_cell_length_a 7.244
_cell_length_b 7.244
_cell_length_c 7.244
_cell_angle_alpha 90.00
_cell_angle_beta 90.00
_cell_angle_gamma 90.00
loop_
_atom_site_label
_atom_site_fract_x
_atom_site_fract_y
_atom_site_fract_z
Sr1 0.000 0.000 0.000
Sr2 0.250 0.250 0.250
Tc1 0.250 0.250 0.750
As1 0.000 0.000 0.500

---

Record 2
# PBE-GGA Dy4MnGa12, optimized geometry
# **Formation energy**: -0.5352 eV per atom
data_Dy4MnGa12
_symmetry_space_group_name_H-M 'I m -3 m'
_symmetry_Int_Tables_number 229
_symmetry_space_group_name_Hall '-I 4 2 3'
_cell_length_a 8.607
_cell_length_b 8.607
_cell_length_c 8.607
_cell_angle_alpha 90.00
_cell_angle_beta 90.00
_cell_angle_gamma 90.00
loop_
_atom_site_label
_atom_site_fract_x
_atom_site_fract_y
_atom_site_fract_z
Dy1 0.250 0.250 0.250
Mn1 0.000 0.000 0.000
Ga1 0.000 0.000 0.288
Ga2 0.000 0.250 0.500

---

Record 3
# PBE-GGA Th2MgBPt6, optimized geometry
# **Formation energy**: -0.9154 eV per atom
data_Th2MgBPt6
_symmetry_space_group_name_H-M 'R -3 m'
_symmetry_Int_Tables_number 166
_symmetry_space_group_name_Hall '-R 3 2"'
_cell_length_a 5.7414
_cell_length_b 5.7414
_cell_length_c 39.4881
_cell_angle_alpha 90.00
_cell_angle_beta 90.00
_cell_angle_gamma 120.00
loop_
_atom_site_label
_atom_site_fract_x
_atom_site_fract_y
_atom_site_fract_z
Th1 0.0000 0.0000 0.1085
Th2 0.0000 0.0000 0.2779
Mg1 0.0000 0.0000 0.4191
B1 0.0000 0.0000 0.0000
B2 0.0000 0.0000 0.5000
Pt1 0.0060 0.5030 0.3006
Pt2 0.0182 0.5091 0.8649

---

Record 4
# PBE-GGA NdZnInPt, optimized geometry
# **Formation energy**: -0.6274 eV per atom
data_NdZnInPt
_symmetry_space_group_name_H-M 'F -4 3 m'
_symmetry_Int_Tables_number 216
_symmetry_space_group_name_Hall 'F -4 2 3'
_cell_length_a 6.949
_cell_length_b 6.949
_cell_length_c 6.949
_cell_angle_alpha 90.00
_cell_angle_beta 90.00
_cell_angle_gamma 90.00
loop_
_atom_site_label
_atom_site_fract_x
_atom_site_fract_y
_atom_site_fract_z
Nd1 0.000 0.000 0.000
Zn1 0.250 0.250 0.750
In1 0.000 0.000 0.500
Pt1 0.250 0.250 0.250

---

Record 5
# PBE-GGA Cs2Y2Bi, optimized geometry
# **Formation energy**: 0.8452 eV per atom
data_Cs2Y2Bi
_symmetry_space_group_name_H-M 'P 4/m b m'
_symmetry_Int_Tables_number 127
_symmetry_space_group_name_Hall '-P 4 2ab'
_cell_length_a 9.842
_cell_length_b 9.842
_cell_length_c 4.016
_cell_angle_alpha 90.00
_cell_angle_beta 90.00
_cell_angle_gamma 90.00
loop_
_atom_site_label
_atom_site_fract_x
_atom_site_fract_y
_atom_site_fract_z
Cs1 0.129 0.371 0.000
Y1 0.184 0.684 0.500
Bi1 0.000 0.000 0.000

---

Record 6
# PBE-GGA Sb2IrRh, optimized geometry
# **Formation energy from raw total energies**: 8.1 kJ/mol of atoms
data_Sb2IrRh
_symmetry_space_group_name_H-M 'I -4 2 d'
_symmetry_Int_Tables_number 122
_symmetry_space_group_name_Hall 'I -4 2bw'
_cell_length_a 5.927
_cell_length_b 5.927
_cell_length_c 11.760
_cell_angle_alpha 90.00
_cell_angle_beta 90.00
_cell_angle_gamma 90.00
loop_
_atom_site_label
_atom_site_fract_x
_atom_site_fract_y
_atom_site_fract_z
Sb1 0.250 0.250 0.125
Ir1 0.000 0.000 0.000
Rh1 0.000 0.000 0.500

---

Record 7
# PBE-GGA NaZn5Cd7, optimized geometry
# **Formation energy**: -0.0073 eV per atom
data_NaZn5Cd7
_symmetry_space_group_name_H-M 'I m m 2'
_symmetry_Int_Tables_number 44
_cell_length_a 5.290
_cell_length_b 9.745
_cell_length_c 10.148
_cell_angle_alpha 90.00
_cell_angle_beta 90.00
_cell_angle_gamma 90.00
loop_
_symmetry_equiv_pos_as_xyz
'x,y,z'
'-x,-y,z'
'-x,y,z'
'x,-y,z'
'x+1/2,y+1/2,z+1/2'
'-x+1/2,-y+1/2,z+1/2'
'-x+1/2,y+1/2,z+1/2'
'x+1/2,-y+1/2,z+1/2'
loop_
_atom_site_label
_atom_site_fract_x
_atom_site_fract_y
_atom_site_fract_z
Na1 0.000 0.000 0.000
Zn1 0.000 0.500 0.284
Zn2 0.249 0.257 0.255
Cd1 0.000 0.000 0.358
Cd2 0.000 0.000 0.659
Cd3 0.000 0.306 0.502
Cd4 0.000 0.344 0.006
Cd5 0.000 0.500 0.723

---

Record 8
# PBE-GGA DyHo5Tm2Zr, optimized geometry
# **Formation energy**: 0.1721 eV per atom
data_DyHo5Tm2Zr
_symmetry_space_group_name_H-M 'C m c 21'
_symmetry_Int_Tables_number 36
_cell_length_a 5.570
_cell_length_b 21.513
_cell_length_c 9.247
_cell_angle_alpha 90.00
_cell_angle_beta 90.00
_cell_angle_gamma 90.00
loop_
_symmetry_equiv_pos_as_xyz
'x,y,z'
'-x,-y,z+1/2'
'-x,y,z'
'x,-y,z+1/2'
'x+1/2,y+1/2,z'
'-x+1/2,-y+1/2,z+1/2'
'-x+1/2,y+1/2,z'
'x+1/2,-y+1/2,z+1/2'
loop_
_atom_site_label
_atom_site_fract_x
_atom_site_fract_y
_atom_site_fract_z
Dy1 0.000 0.099 0.000
Ho1 0.000 0.030 0.321
Ho2 0.000 0.105 0.619
Ho3 0.000 0.196 0.285
Ho4 0.000 0.231 0.899
Ho5 0.000 0.486 0.584
Tm1 0.000 0.366 0.287
Tm2 0.000 0.385 0.893
Zr1 0.000 0.316 0.591

---

Record 9
# PBE-GGA Tb2BeAl3Cu12, optimized geometry
# **Formation energy**: 0.0668 eV per atom
data_Tb2BeAl3Cu12
_symmetry_space_group_name_H-M 'R -3 m'
_symmetry_Int_Tables_number 166
_symmetry_space_group_name_Hall '-R 3 2"'
_cell_length_a 5.4482
_cell_length_b 5.4482
_cell_length_c 32.4716
_cell_angle_alpha 90.00
_cell_angle_beta 90.00
_cell_angle_gamma 120.00
loop_
_atom_site_label
_atom_site_fract_x
_atom_site_fract_y
_atom_site_fract_z
Tb1 0.0000 0.0000 0.1442
Be1 0.0000 0.0000 0.5000
Al1 0.0000 0.5000 0.0000
Cu1 0.0139 0.5069 0.1124
Cu2 0.0289 0.5145 0.6094

---

Record 10
# PBE-GGA YZrV2, optimized geometry
# **Formation energy**: 0.8537 eV per atom
data_YZrV2
_symmetry_space_group_name_H-M 'I -4 2 d'
_symmetry_Int_Tables_number 122
_symmetry_space_group_name_Hall 'I -4 2bw'
_cell_length_a 7.420
_cell_length_b 7.420
_cell_length_c 5.888
_cell_angle_alpha 90.00
_cell_angle_beta 90.00
_cell_angle_gamma 90.00
loop_
_atom_site_label
_atom_site_fract_x
_atom_site_fract_y
_atom_site_fract_z
Y1 0.000 0.000 0.000
Zr1 0.000 0.000 0.500
V1 0.238 0.250 0.625

---

Record 11
# PBE-GGA La6CePmSm2, optimized geometry
# **Formation energy**: 0.2051 eV per atom
data_La6CePmSm2
_symmetry_space_group_name_H-M 'C 1 2/m 1'
_symmetry_Int_Tables_number 12
_cell_length_a 11.394
_cell_length_b 7.167
_cell_length_c 9.050
_cell_angle_alpha 90.00
_cell_angle_beta 103.59
_cell_angle_gamma 90.00
loop_
_symmetry_equiv_pos_as_xyz
'x,y,z'
'-x,-y,-z'
'-x,y,-z'
'x,-y,z'
'x+1/2,y+1/2,z'
'-x+1/2,-y+1/2,-z'
'-x+1/2,y+1/2,-z'
'x+1/2,-y+1/2,z'
loop_
_atom_site_label
_atom_site_fract_x
_atom_site_fract_y
_atom_site_fract_z
La1 0.128 0.000 0.416
La2 0.173 0.266 0.796
Ce1 0.000 0.000 0.000
Pm1 0.000 0.500 0.500
Sm1 0.095 0.500 0.158

---

no.,V (Å³/f.u.),theoretical density (g/cm³)
1,95.0,6.08
2,318.8,8.03
3,187.9,14.76
4,83.9,10.28
5,194.5,5.57
6,103.3,8.66
7,261.6,7.22
8,277.0,8.49
9,278.2,6.98
10,81.0,5.78
11,359.2,6.56